First-principles (GGA-PBE) data for an optimized crystal structure of CaZrCd, as listed in Alexandria via LeMat-Bulk.

a b c (Å): 3.3069 3.3069 8.2824
angles (deg): 90.00 90.00 120.00
Last column: nearest neighbours and their distance in Å.
Sites, in units of the cell vectors:
Ca 0.0000 0.0000 0.0078  6 Ca 3.31, 3 Cd 3.36, 3 Zr 3.52
Zr 0.3333 0.6667 0.6511  3 Cd 3.20, 6 Zr 3.31, 3 Ca 3.52
Cd 0.6667 0.3333 0.3411  3 Zr 3.20, 6 Cd 3.31, 3 Ca 3.36

As for the total moment: 0.00 μB/cell. For the density of states at the Fermi level, the calculation gives 2.6 states/eV/f.u. As for the formation energy from the elements: 14.7 kJ/mol of atoms.

First-principles (GGA-PBE) data for an optimized crystal structure of ZrRe2IrPd, as listed in Alexandria via LeMat-Bulk.

a b c (Å): 4.6399 4.8276 4.6399
angles (deg): 90.00 90.00 90.00
Last column: nearest neighbours and their distance in Å.
Sites, in units of the cell vectors:
Re 0.0000 0.0000 0.5000  2 Pd 2.32
Re 0.5000 0.0000 0.0000  2 Pd 2.32
Ir 0.5000 0.5000 0.5000  4 Zr 3.28, 8 Re 3.35
Zr 0.0000 0.5000 0.0000  2 Pd 2.41
Pd 0.0000 0.0000 0.0000  4 Re 2.32, 2 Zr 2.41

As for the total moment: 0.00 μB/cell. For the density of states at the Fermi level, the calculation gives 8.6 states/eV/f.u. As for the formation energy from the elements: 188.4 kJ/mol of atoms.

First-principles (GGA-PBE) data for an optimized crystal structure of Zr3Tl2Cl9, as listed in Alexandria via LeMat-Bulk.

a b c (Å): 9.9717 10.2493 10.2493
angles (deg): 118.28 102.30 102.30
Last column: nearest neighbours and their distance in Å.
Sites, in units of the cell vectors:
Zr 0.3618 0.1342 0.1342  5 Cl 2.56-2.59
Zr 0.6382 0.8658 0.8658  5 Cl 2.56-2.59
Zr 0.6514 0.0476 0.2360  5 Cl 2.55-2.64
Zr 0.3486 0.7640 0.9524  5 Cl 2.55-2.64
Zr 0.3486 0.9524 0.7640  5 Cl 2.55-2.64
Zr 0.6514 0.2360 0.0476  5 Cl 2.55-2.64
Tl 0.1716 0.5516 0.2285  4 Cl 3.14-3.27
Tl 0.8284 0.7715 0.4484  4 Cl 3.14-3.27
Tl 0.8284 0.4484 0.7715  4 Cl 3.14-3.27
Tl 0.1716 0.2285 0.5516  4 Cl 3.14-3.27
Cl 0.5000 0.2072 0.7928  2 Zr 2.57
Cl 0.1691 0.4950 0.8919  1 Zr 2.64
Cl 0.1691 0.8919 0.4950  1 Zr 2.64
Cl 0.8309 0.5050 0.1081  1 Zr 2.64
Cl 0.7895 0.7166 0.7166  1 Zr 2.59
Cl 0.2105 0.2834 0.2834  1 Zr 2.59
Cl 0.5180 0.4073 0.2002  2 Zr 2.57
Cl 0.4820 0.7998 0.5927  2 Zr 2.57
Cl 0.4820 0.5927 0.7998  2 Zr 2.57
Cl 0.5180 0.2002 0.4073  2 Zr 2.57
Cl 0.1684 0.6849 0.6849  2 Zr 2.56
Cl 0.8173 0.9094 0.1148  2 Zr 2.55-2.56
Cl 0.8173 0.1148 0.9094  2 Zr 2.55-2.56
Cl 0.1827 0.0906 0.8852  2 Zr 2.55-2.56
Cl 0.1827 0.8852 0.0906  2 Zr 2.55-2.56
Cl 0.5000 0.7928 0.2072  2 Zr 2.57
Cl 0.8316 0.3151 0.3151  2 Zr 2.56
Cl 0.8309 0.1081 0.5050  1 Zr 2.64

As for the total moment: 4.00 μB/cell. Its formation energy (no corrections) is -1480 meV/atom. For the density of states at the Fermi level, the calculation gives 5.2 states/eV/f.u.

First-principles (GGA-PBE) data for an optimized crystal structure of Ce2Pd3Pt3, as listed in Alexandria via LeMat-Bulk.

a b c (Å): 4.1667 4.1608 8.3332
angles (deg): 90.00 90.00 90.00
Last column: nearest neighbours and their distance in Å.
Sites, in units of the cell vectors:
Ce 0.0000 0.0000 0.7499  6 Pt 2.94-2.95, 6 Pd 2.94-2.95
Ce 0.0000 0.0000 0.2501  6 Pt 2.94-2.95, 6 Pd 2.94-2.95
Pd 0.5000 0.5000 0.7507  2 Pd 2.94, 6 Pt 2.94-2.95, 4 Ce 2.94
Pd 0.5000 0.5000 0.2493  2 Pd 2.94, 6 Pt 2.94-2.95, 4 Ce 2.94
Pd 0.5000 0.0000 0.0000  4 Pd 2.94, 4 Pt 2.94, 4 Ce 2.95
Pt 0.5000 0.0000 0.5000  4 Pt 2.94, 4 Ce 2.95, 4 Pd 2.95
Pt 0.0000 0.5000 0.0000  8 Pd 2.94, 4 Ce 2.94
Pt 0.0000 0.5000 0.5000  4 Ce 2.94, 4 Pt 2.94, 4 Pd 2.95

As for the total moment: 0.62 μB/cell. For the density of states at the Fermi level, the calculation gives 8.0 states/eV/f.u. As for the formation energy from the elements: -88.9 kJ/mol of atoms.

First-principles (GGA-PBE) data for an optimized crystal structure of Tm2CoAg, as listed in Alexandria via LeMat-Bulk.

a b c (Å): 4.8698 4.8698 4.8698
angles (deg): 60.00 60.00 60.00
Last column: nearest neighbours and their distance in Å.
Sites, in units of the cell vectors:
Tm 0.2500 0.2500 0.2500  4 Ag 2.98, 4 Co 2.98
Tm 0.7500 0.7500 0.7500  4 Ag 2.98, 4 Co 2.98
Co 0.0000 0.0000 0.0000  8 Tm 2.98
Ag 0.5000 0.5000 0.5000  8 Tm 2.98

As for the total moment: 0.35 μB/cell. For the density of states at the Fermi level, the calculation gives 3.0 states/eV/f.u. As for the formation energy from the elements: -21.4 kJ/mol of atoms.

First-principles (GGA-PBE) data for an optimized crystal structure of CsTlSn4, as listed in Alexandria via LeMat-Bulk.

a b c (Å): 6.5097 6.5097 6.5097
angles (deg): 60.00 60.00 60.00
Last column: nearest neighbours and their distance in Å.
Sites, in units of the cell vectors:
Cs 0.2500 0.2500 0.2500  12 Sn 3.82, 4 Tl 3.99
Tl 0.0000 0.0000 0.0000  12 Sn 3.82, 4 Cs 3.99
Sn 0.6251 0.6251 0.1246  6 Sn 3.25-3.26
Sn 0.6251 0.1246 0.6251  6 Sn 3.25-3.26
Sn 0.6251 0.6251 0.6251  6 Sn 3.25-3.26
Sn 0.1246 0.6251 0.6251  6 Sn 3.25-3.26

As for the total moment: 0.00 μB/cell. For the density of states at the Fermi level, the calculation gives 7.4 states/eV/f.u. As for the formation energy from the elements: 0.6 kJ/mol of atoms.

First-principles (GGA-PBE) data for an optimized crystal structure of ZrTiNi2H2, as listed in Alexandria via LeMat-Bulk.

a b c (Å): 5.1695 5.1695 4.0516
angles (deg): 90.00 90.00 142.53
Last column: nearest neighbours and their distance in Å.
Sites, in units of the cell vectors:
Zr 0.1653 0.8347 0.0000  4 H 2.12-2.33
Ti 0.8823 0.1177 0.5000  3 H 2.08-2.14
Ni 0.5854 0.4146 0.5000  2 H 1.67
Ni 0.4337 0.5663 0.0000  2 H 1.93
H 0.1011 0.8989 0.5000  2 Ni 1.67
H 0.8323 0.1677 0.0000  2 Ni 1.93, 2 Ti 2.08

As for the total moment: 0.00 μB/cell. For the density of states at the Fermi level, the calculation gives 5.3 states/eV/f.u. For the total energy, the calculation gives -6.1397 eV per atom.

First-principles (GGA-PBE) data for an optimized crystal structure of In4Ag5, as listed in Alexandria via LeMat-Bulk.

a b c (Å): 4.3791 5.1720 11.8939
angles (deg): 49.70 78.84 65.63
Last column: nearest neighbours and their distance in Å.
Sites, in units of the cell vectors:
In 0.6623 0.7870 0.8870  8 Ag 3.03-3.21, 4 In 3.12-3.21
In 0.3377 0.2130 0.1130  8 Ag 3.03-3.21, 4 In 3.12-3.21
In 0.9893 0.3597 0.6634  9 Ag 2.94-3.14, 3 In 3.12-3.19
In 0.0107 0.6403 0.3366  9 Ag 2.94-3.14, 3 In 3.12-3.19
Ag 0.3383 0.8800 0.4478  6 In 2.94-3.16, 6 Ag 2.96-3.11
Ag 0.6617 0.1200 0.5522  6 In 2.94-3.16, 6 Ag 2.96-3.11
Ag 0.3205 0.5833 0.7682  7 In 2.99-3.21, 5 Ag 3.04-3.25
Ag 0.6795 0.4167 0.2318  7 In 2.99-3.21, 5 Ag 3.04-3.25
Ag 0.0000 0.0000 0.0000  8 In 3.03-3.14, 4 Ag 3.15-3.25

As for the total moment: 0.00 μB/cell. For the density of states at the Fermi level, the calculation gives 2.2 states/eV/f.u. As for the formation energy from the elements: 1.1 kJ/mol of atoms.

First-principles (GGA-PBE) data for an optimized crystal structure of Sm2Tc2B2C, as listed in Alexandria via LeMat-Bulk.

a b c (Å): 3.6703 5.7987 6.0510
angles (deg): 69.88 72.35 71.55
Last column: nearest neighbours and their distance in Å.
Sites, in units of the cell vectors:
Sm 0.5705 0.1849 0.6740  2 C 2.62
Sm 0.4295 0.8151 0.3260  2 C 2.62
Tc 0.2024 0.6869 0.9083  1 C 1.94, 2 B 2.14
Tc 0.7976 0.3131 0.0917  1 C 1.94, 2 B 2.14
B 0.1825 0.3810 0.2541  3 Tc 2.14-2.23
B 0.8175 0.6190 0.7459  3 Tc 2.14-2.23
C 0.0000 0.0000 0.0000  2 Tc 1.94

As for the total moment: 0.00 μB/cell. For the density of states at the Fermi level, the calculation gives 3.7 states/eV/f.u. As for the formation energy from the elements: -34.6 kJ/mol of atoms.

First-principles (GGA-PBE) data for an optimized crystal structure of YSc2, as listed in Alexandria via LeMat-Bulk.

a b c (Å): 3.4280 9.0488 5.3357
angles (deg): 90.00 90.00 79.08
Last column: nearest neighbours and their distance in Å.
Sites, in units of the cell vectors:
Sc 0.9994 0.0012 0.0000  4 Y 3.32-3.43, 8 Sc 3.33-3.43
Sc 0.2215 0.5570 0.5000  6 Y 3.32-3.43, 6 Sc 3.33-3.43
Sc 0.3340 0.3319 0.0000  6 Y 3.32-3.43, 6 Sc 3.33-3.43
Sc 0.5561 0.8877 0.5000  4 Y 3.32-3.43, 8 Sc 3.33-3.43
Y 0.6669 0.6661 0.0000  10 Sc 3.32-3.43, 2 Y 3.43
Y 0.8886 0.2227 0.5000  10 Sc 3.32-3.43, 2 Y 3.43

As for the total moment: 0.00 μB/cell. For the density of states at the Fermi level, the calculation gives 6.0 states/eV/f.u. As for the formation energy from the elements: 2.8 kJ/mol of atoms.

What did the fifth record say?
First-principles (GGA-PBE) data for an optimized crystal structure of Tm2CoAg, as listed in Alexandria via LeMat-Bulk.

a b c (Å): 4.8698 4.8698 4.8698
angles (deg): 60.00 60.00 60.00
Last column: nearest neighbours and their distance in Å.
Sites, in units of the cell vectors:
Tm 0.2500 0.2500 0.2500  4 Ag 2.98, 4 Co 2.98
Tm 0.7500 0.7500 0.7500  4 Ag 2.98, 4 Co 2.98
Co 0.0000 0.0000 0.0000  8 Tm 2.98
Ag 0.5000 0.5000 0.5000  8 Tm 2.98

As for the total moment: 0.35 μB/cell. For the density of states at the Fermi level, the calculation gives 3.0 states/eV/f.u. As for the formation energy from the elements: -21.4 kJ/mol of atoms.